4
Lattice="4.6887 0.0000 0.0000 0.0000 4.6887 0.0000 0.0000 0.0000 4.6887" Properties=species:S:1:pos:R:3 comment="LuTl3 | the Open Quantum Materials Database | PBE | relaxed" magmom_total_mub_per_fu=0.00 space_group="Pm-3m (221)" energy_ev_per_cell=-12.1 pbc="T T T"
Tl 0.0000 2.3443 2.3443
Tl 2.3443 0.0000 2.3443
Tl 2.3443 2.3443 0.0000
Lu 0.0000 0.0000 0.0000


8
Lattice="-0.6454 5.1524 9.2177 3.0609 6.3174 7.9153 -0.2857 8.2737 6.5875" Properties=species:S:1:pos:R:3 comment="GdAl4NiGe2 | the Open Quantum Materials Database | PBE | relaxed" magmom_total_mub_per_fu=0.00 space_group="R-3m (166)" energy_ev_per_cell=-38.4 pbc="T T T"
Al 0.6624 6.1401 7.3769
Al 1.4675 13.6034 16.3436
Al 0.1658 1.5368 1.8463
Al 1.9641 18.2067 21.8742
Ge 1.6534 15.3274 18.4148
Ge 0.4764 4.4161 5.3057
Ni 0.0000 0.0000 0.0000
Gd 1.0649 9.8717 11.8603


12
Lattice="-4.3440 -2.9769 -7.2834 2.4367 -3.0420 -0.2100 -3.8213 -3.6084 7.9309" Properties=species:S:1:pos:R:3 comment="RbLuFeS3 | the Open Quantum Materials Database | PBE | relaxed" magmom_total_mub_per_fu=3.92 space_group="P2_1/m (11)" energy_ev_per_cell=-68.5 polymorph_energy_mev_per_atom=0 pbc="T T T"
S -2.5831 -5.4572 -5.3339
S -4.9476 -5.4081 2.7938
S -4.6184 -4.7951 -2.2665
S -1.1102 -4.8322 2.7040
S -0.7809 -4.2192 -2.3563
S -3.1455 -4.1701 5.7715
Lu -2.8352 -3.2637 -3.7584
Lu -2.8934 -6.3636 4.1960
Rb -4.4733 -7.3500 0.1530
Rb -1.2553 -2.2773 0.2846
Fe -3.7369 -6.4965 -3.6666
Fe -1.9916 -3.1308 4.1041


11
Lattice="-2.1099 2.1304 12.6518 2.1099 -2.1304 12.6518 2.1099 2.1304 -12.6518" Properties=species:S:1:pos:R:3 comment="PrNd2Zn4Ge4 | the Open Quantum Materials Database | PBE | relaxed" magmom_total_mub_per_fu=0.00 space_group="Immm (71)" energy_ev_per_cell=-44.3 pbc="T T T"
Pr 0.0000 0.0000 0.0000
Ge 0.0000 2.1304 7.8207
Ge 2.1099 0.0000 4.8311
Ge 0.0000 0.0000 13.8962
Ge 0.0000 0.0000 11.4074
Zn 2.1099 0.0000 2.4005
Zn 0.0000 0.0000 6.3239
Zn 0.0000 2.1304 10.2513
Zn 0.0000 0.0000 18.9797
Nd 0.0000 2.1304 3.6649
Nd 2.1099 0.0000 8.9869


12
Lattice="-1.1255 3.7400 3.6830 -3.9038 -1.7911 -3.2204 0.8423 -4.3134 3.1170" Properties=species:S:1:pos:R:3 comment="Na2Li2ZnTeO6 | the Open Quantum Materials Database | PBE | relaxed" space_group="C2 (5)" energy_ev_per_cell=-59.6 polymorph_energy_mev_per_atom=21 pbc="T T T"
O -4.0715 -0.6511 -0.2196
O -3.2123 -1.7386 2.8735
O -3.2449 1.5978 2.3133
O -1.1775 -3.8275 1.1607
O 0.0785 -1.9303 3.8026
O -0.8910 -0.4592 0.9142
Zn -1.5857 2.8238 2.5396
Li -2.5761 -2.1429 0.5909
Li -1.6399 -0.2792 2.9170
Na -2.5113 0.9813 0.2399
Na -0.7331 1.5261 5.1702
Te -3.4321 -0.8520 -2.0482


8
Lattice="3.4113 0.0000 0.0000 -1.7056 2.9542 0.0000 0.0000 0.0000 15.0508" Properties=species:S:1:pos:R:3 comment="HfZrHgB | the Open Quantum Materials Database | PBE | relaxed" magmom_total_mub_per_fu=0.00 space_group="P-3m1 (164)" energy_ev_per_cell=-53.8 pbc="T T T"
Hf 0.0000 1.9695 6.2343
Hf 1.7056 0.9847 8.8165
Hg 0.0000 1.9695 11.2447
Hg 1.7056 0.9847 3.8061
B 0.0000 0.0000 7.5254
B 0.0000 0.0000 0.0000
Zr 0.0000 1.9695 1.3316
Zr 1.7056 0.9847 13.7192


4
Lattice="0.0054 5.0215 0.4217 -4.2771 -2.5798 0.6664 1.1679 -0.4760 5.6533" Properties=species:S:1:pos:R:3 comment="PaAl | the Open Quantum Materials Database | PBE | relaxed" magmom_total_mub_per_fu=0.00 space_group="P6_3/mmc (194)" energy_ev_per_cell=-22.0 pbc="T T T"
Al 1.0953 -0.4465 5.3021
Al -2.3382 -0.2545 3.0603
Pa -1.7551 -0.4921 5.8826
Pa 0.5105 -0.2081 2.4712


6
Lattice="-2.1424 2.1424 8.3675 2.1424 -2.1424 8.3675 2.1424 2.1424 -8.3675" Properties=species:S:1:pos:R:3 comment="TbGdZr2Sb2 | the Open Quantum Materials Database | PBE | relaxed" magmom_total_mub_per_fu=0.04 space_group="I4mm (107)" energy_ev_per_cell=-39.5 pbc="T T T"
Gd 0.0000 0.0000 5.3993
Zr 0.0000 2.1424 0.0021
Zr 2.1424 0.0000 0.0021
Sb 0.0000 0.0000 2.2133
Sb 0.0000 0.0000 14.5241
Tb 0.0000 0.0000 11.3292


5
Lattice="-0.4412 -2.0206 3.2606 1.5197 -1.6845 -3.1245 6.1013 1.8484 1.9711" Properties=species:S:1:pos:R:3 comment="PmYSO2 | the Open Quantum Materials Database | PBE | relaxed" magmom_total_mub_per_fu=0.00 space_group="P3m1 (156)" energy_ev_per_cell=-40.9 pbc="T T T"
O 3.8703 1.1725 1.2503
O 2.5001 -1.2155 1.8713
Pm 1.7041 0.5162 0.5505
S 6.9307 0.0408 0.9631
Y 4.5896 -0.5825 2.5463


12
Lattice="0.0651 2.4921 5.6689 -5.9571 -0.6945 -1.5433 3.0383 -5.3962 0.0287" Properties=species:S:1:pos:R:3 comment="SmBiO4 | the Open Quantum Materials Database | PBE | relaxed" magmom_total_mub_per_fu=0.00 space_group="Imma (74)" energy_ev_per_cell=-80.0 pbc="T T T"
O -1.0552 1.5624 3.5881
O -4.3167 1.2385 3.3383
O -0.3522 -2.1428 1.3167
O -3.0792 -2.4727 0.0610
O 1.4630 -4.8371 0.8159
O 0.2255 -1.1260 4.0932
O -2.5015 -1.4559 2.8375
O -1.7985 -5.1610 0.5661
Bi -2.1676 -3.3186 1.7062
Bi -0.6861 -0.2800 2.4480
Sm -2.9785 -0.3473 -0.7717
Sm 1.5191 -2.6981 0.0143


24
Lattice="5.5690 3.4413 -0.5293 0.8549 1.9548 -6.2116 -5.3708 9.0140 2.0975" Properties=species:S:1:pos:R:3 comment="ReC5IO5 | the Open Quantum Materials Database | PBE | relaxed" magmom_total_mub_per_fu=0.00 space_group="Cmcm (63)" energy_ev_per_cell=-185.7 pbc="T T T"
O 0.9110 6.4185 -0.4491
O -0.1773 12.2670 -1.0762
O 3.1060 2.7346 -1.3064
O 1.2305 2.1431 -3.5671
O -1.2732 9.0746 -1.3177
O -2.0529 11.6756 -3.3370
O 0.1421 7.9917 -4.1943
O 2.3263 5.3355 -3.3257
O -0.9645 5.8270 -2.7099
O 2.0177 8.5831 -1.9335
C 3.0200 5.9182 -4.0536
C 0.7908 11.8081 -0.6526
C 3.1832 3.5231 -0.4700
C -1.1401 4.9559 -3.4431
C -2.1301 10.8870 -4.1734
C -1.9669 8.4919 -0.5898
C -0.7276 8.5332 -4.7212
C 0.2623 2.6021 -3.9908
C 1.7808 5.8769 0.0778
C 2.1933 9.4543 -1.2003
I -0.5612 2.9100 -0.2957
I 1.6143 11.5001 -4.3477
Re -3.1251 7.5190 0.6255
Re 4.1782 6.8911 -5.2689


4
Lattice="1.0024 3.5197 3.0584 -3.4598 1.8756 2.6942 -0.0785 -0.8272 4.6964" Properties=species:S:1:pos:R:3 comment="YCuSbW | the Open Quantum Materials Database | PBE | relaxed" magmom_total_mub_per_fu=0.04 space_group="F-43m (216)" energy_ev_per_cell=-25.5 polymorph_energy_mev_per_atom=0 pbc="T T T"
Cu -1.9019 3.4260 7.8367
W -0.6340 1.1420 2.6122
Y -1.2679 2.2840 5.2245
Sb 0.0000 0.0000 0.0000


4
Lattice="-1.1433 -4.2334 1.0969 1.2242 -1.7067 4.0025 -3.1167 -0.7455 3.1878" Properties=species:S:1:pos:R:3 comment="TaFeCuBi | the Open Quantum Materials Database | PBE | relaxed" magmom_total_mub_per_fu=0.71 space_group="F-43m (216)" energy_ev_per_cell=-26.0 polymorph_energy_mev_per_atom=0 pbc="T T T"
Bi 0.0000 0.0000 0.0000
Ta -1.5179 -3.3428 4.1436
Cu -2.2769 -5.0142 6.2154
Fe -0.7590 -1.6714 2.0718


8
Lattice="3.4912 0.0000 0.0000 -1.7456 3.0235 0.0000 0.0000 0.0000 15.8444" Properties=species:S:1:pos:R:3 comment="Er3HfIn2C2 | the Open Quantum Materials Database | PBE | relaxed" magmom_total_mub_per_fu=0.00 space_group="P3m1 (156)" energy_ev_per_cell=-51.4 pbc="T T T"
Hf 0.0000 0.0000 1.2901
C 0.0000 2.0157 0.2176
C 0.0000 2.0157 7.8776
In 0.0000 0.0000 11.9332
In 1.7456 1.0078 3.8247
Er 1.7456 1.0078 14.5790
Er 0.0000 0.0000 6.5200
Er 1.7456 1.0078 9.2132


11
Lattice="-1.9159 7.7589 4.7703 1.9159 -7.7589 4.7703 1.9159 7.7589 -4.7703" Properties=species:S:1:pos:R:3 comment="Dy4Er2LuNi2Te2 | the Open Quantum Materials Database | PBE | relaxed" magmom_total_mub_per_fu=0.01 space_group="Imm2 (44)" energy_ev_per_cell=-56.8 polymorph_energy_mev_per_atom=5 pbc="T T T"
Dy 1.9159 2.8640 -1.1696
Dy 0.0000 4.8950 3.6007
Dy 1.9159 2.2565 2.1818
Dy 1.9159 -2.2565 2.1818
Te 0.0000 7.7589 2.2277
Te 0.0000 0.0000 3.2357
Er 0.0000 2.0766 5.5514
Er 1.9159 5.6823 0.7811
Lu 0.0000 0.0000 0.0011
Ni 0.0000 11.8439 0.6655
Ni 0.0000 3.6739 0.6655


4
Lattice="3.3204 0.0000 0.0000 0.0000 3.0833 6.1254 0.0000 -3.0833 6.1254" Properties=species:S:1:pos:R:3 comment="HoTmSn2 | the Open Quantum Materials Database | PBE | relaxed" magmom_total_mub_per_fu=0.01 space_group="Amm2 (38)" energy_ev_per_cell=-16.6 pbc="T T T"
Ho 0.0000 0.0000 7.8310
Tm 0.0000 0.0000 4.4092
Sn 0.0000 0.0000 10.8389
Sn 0.0000 0.0000 1.4224


5
Lattice="4.4709 0.0000 0.0000 0.0000 4.4709 0.0000 0.0000 0.0000 4.4709" Properties=species:S:1:pos:R:3 comment="SmPaO3 | the Open Quantum Materials Database | PBE | relaxed" magmom_total_mub_per_fu=1.54 space_group="Pm-3m (221)" energy_ev_per_cell=-40.2 pbc="T T T"
O 2.2354 2.2354 0.0000
O 2.2354 0.0000 2.2354
O 0.0000 2.2354 2.2354
Pa 2.2354 2.2354 2.2354
Sm 0.0000 0.0000 0.0000


3
Lattice="0.0000 3.2290 3.2290 3.2290 0.0000 3.2290 3.2290 3.2290 0.0000" Properties=species:S:1:pos:R:3 comment="LuCdNi | the Open Quantum Materials Database | PBE | relaxed" magmom_total_mub_per_fu=0.00 delta_e_f_mev_per_atom=230 space_group="F-43m (216)" energy_ev_per_cell=-10.3 pbc="T T T"
Lu 1.6145 1.6145 1.6145
Cd 0.0000 0.0000 0.0000
Ni 4.8435 4.8435 4.8435


24
Lattice="5.1638 -2.9615 0.0000 5.1638 2.9615 0.0000 -3.4768 0.0000 13.3683" Properties=species:S:1:pos:R:3 comment="Zr2Bi3Mo4N3 | the Open Quantum Materials Database | PBE | relaxed" magmom_total_mub_per_fu=0.02 space_group="C2/c (15)" energy_ev_per_cell=-199.3 pbc="T T T"
Mo -0.8490 0.4076 7.5637
Mo 7.6997 -0.4076 5.8046
Mo 0.8894 -0.4076 0.8795
Mo 0.8188 -0.5555 5.7635
Mo 6.0319 0.5555 7.6048
Mo 5.9614 0.4076 12.4888
Mo 7.7703 -0.5555 0.9207
Mo -0.9195 0.5555 12.4476
N 4.2947 1.4813 0.0095
N 2.5563 -1.4813 6.6937
N 4.2945 1.4813 6.6746
N 2.5819 -1.4807 0.0000
N 0.8435 1.4807 6.6842
N 2.5561 -1.4813 13.3588
Bi 2.5562 2.6220 10.0262
Bi 4.3939 -0.5571 9.9883
Bi 6.1323 0.5571 3.3041
Bi 2.4569 0.5571 3.3801
Bi 0.7185 -0.5571 10.0642
Bi 4.2946 -2.6220 3.3421
Zr 2.5018 0.5268 7.7951
Zr 4.3489 -0.5268 5.5732
Zr 4.2402 -0.5268 1.1110
Zr 2.6105 0.5268 12.2573


24
Lattice="6.2239 0.0000 0.0000 0.0000 7.3608 0.0000 0.0000 0.0000 12.7586" Properties=species:S:1:pos:R:3 comment="TlCd5 | the Open Quantum Materials Database | PBE | relaxed" space_group="Pmc2_1 (26)" energy_ev_per_cell=-26.5 pbc="T T T"
Cd 0.0000 0.3850 3.6873
Cd 4.6538 5.8935 1.5058
Cd 3.1120 3.2187 5.9870
Cd 0.0000 3.2711 2.5938
Cd 4.6683 2.1610 10.8268
Cd 4.6538 1.4673 7.8851
Cd 0.0000 4.0897 8.9730
Cd 3.1120 1.0555 0.6691
Cd 4.6683 5.1998 4.4475
Cd 3.1120 6.3053 7.0484
Cd 1.5701 5.8935 1.5058
Cd 0.0000 6.9758 10.0666
Cd 0.0000 4.6164 12.0122
Cd 1.5701 1.4673 7.8851
Cd 3.1120 4.1421 12.3663
Cd 3.1120 3.3464 2.5453
Cd 0.0000 2.7443 5.6329
Cd 1.5556 5.1998 4.4475
Cd 3.1120 4.0144 8.9245
Cd 1.5556 2.1610 10.8268
Tl 0.0000 1.0700 0.5224
Tl 0.0000 6.2908 6.9017
Tl 3.1120 0.6707 4.1150
Tl 3.1120 6.6901 10.4943


One value per record, in order, for calculated density: 12.7, 5.2, 4.4, 7.2, 4.6, 10.5, 6.7, 8.0, 5.7, 7.7, 3.5, 9.9, 13.0, 9.3, 9.0, 7.6, 8.0, 8.5, 10.0, 8.7 g/cm3.